Record 1
Computed, not measured: an optimized crystal structure of K3Ca at the PBE-GGA level of DFT.

Cell lengths 7.9260, 7.9260, 7.9260 Å; angles 90.00, 90.00, 90.00 degrees
Positions (direct):
K 0.0000 0.5000 0.0000
K 0.5000 0.0000 0.0000
K 0.0000 0.0000 0.5000
Ca 0.0000 0.0000 0.0000

Values from the calculation:
Space-group type   Pm-3m, No. 221

=====

Record 2
Computed, not measured: an optimized crystal structure of KCa3 at the PBE-GGA level of DFT.

Cell lengths 6.4275, 6.4275, 6.4275 Å; angles 60.00, 60.00, 60.00 degrees
Positions (direct):
K 0.0000 0.0000 0.0000
Ca 0.2500 0.2500 0.2500
Ca 0.7500 0.7500 0.7500
Ca 0.5000 0.5000 0.5000

Values from the calculation:
Space-group type   Fm-3m, No. 225

=====

Record 3
Computed, not measured: an optimized crystal structure of K2Ca at the PBE-GGA level of DFT.

Cell lengths 4.2399, 12.5656, 13.2671 Å; angles 90.00, 90.00, 90.00 degrees
Positions (direct):
K 0.2500 0.6282 0.7579
K 0.7500 0.8718 0.2579
K 0.7500 0.3587 0.9174
K 0.2500 0.1413 0.4174
K 0.2500 0.6413 0.0826
K 0.2500 0.1282 0.7421
K 0.7500 0.8587 0.5826
K 0.7500 0.3718 0.2421
Ca 0.2500 0.1027 0.0767
Ca 0.7500 0.8973 0.9233
Ca 0.2500 0.6027 0.4233
Ca 0.7500 0.3973 0.5767

Values from the calculation:
Space-group type   Pnma, No. 62
Energy above the lowest structure with this stoichiometry   0.11 kcal/mol of atoms

=====

| no. | theoretical density (kg/m3) | total magnetic moment (μB/f.u.) | energy of formation from the pure elements (eV/f.u.) |
| --- | --- | --- | --- |
| 1 | 525 | 0.00 | 1.95 |
| 2 | 1409 | 0.00 | 0.66 |
| 3 | 1111 | 0.00 | 0.40 |